This record from Alexandria describes a geometry-optimized ZnH3Rh3 structure. The functional is PBE-GGA.

The calculation puts the magnetization at 0.000 μB/atom. The value obtained for the energy above the most stable polymorph in this dataset is 0.1081 eV/atom.

The structure belongs to space group Pm-3n (No. 223); the cell edges are 5.1780, 5.1780 and 5.1780 Å and the angles 90.00°, 90.00° and 90.00°. Symmetry generates all atoms from Zn at (0.0000, 0.0000, 0.0000), H at (0.0000, 0.2500, 0.5000) and Rh at (0.0000, 0.5000, 0.2500).